A geometry-optimized CaWO2 structure, computed with GGA+U.

Values from the calculation:
V: 17.2 Å³ per atom
excess energy over the best structure of this formula in the dataset: 4.72 kcal/mol of atoms
total magnetization: 0.77 μB per atom
calculated density: 6182 kg/m³
uncorrected energy: -26.02 eV per formula unit

Cell: 17.604 3.281 9.905 Å, 90.00 106.00 90.00°
Space group C2/m (No. 12)
Asymmetric unit:
Ca 0.017 0.000 0.199 [4 per cell]
Ca 0.197 0.500 0.767 [4 per cell]
W 0.134 0.500 0.012 [4 per cell]
W 0.177 0.000 0.384 [4 per cell]
O 0.093 0.500 0.351 [4 per cell]
O 0.119 0.000 0.848 [4 per cell]
O 0.155 0.000 0.158 [4 per cell]
O 0.233 0.000 0.612 [4 per cell]